Entry 1:
First-principles (GGA-PBE) data for Ce11In9Pd4 after structural relaxation, as listed in Alexandria via LeMat-Bulk.

Calculated values
Energy relative to the elements = -0.54 eV/atom

Geometry as POSCAR:
```
Ce11In9Pd4
1.0
7.594 -10.860 0.000
7.594 10.860 0.000
0.000 0.000 3.742
Ce In Pd
11 9 4
Direct
0.000 0.000 0.000
0.060 0.428 0.000
0.149 0.851 0.000
0.312 0.312 0.000
0.371 0.629 0.000
0.428 0.060 0.000
0.572 0.940 0.000
0.629 0.371 0.000
0.688 0.688 0.000
0.851 0.149 0.000
0.940 0.572 0.000
0.081 0.226 0.500
0.162 0.641 0.500
0.226 0.081 0.500
0.359 0.838 0.500
0.500 0.500 0.500
0.641 0.162 0.500
0.774 0.919 0.500
0.838 0.359 0.500
0.919 0.774 0.500
0.247 0.453 0.500
0.453 0.247 0.500
0.547 0.753 0.500
0.753 0.547 0.500
```

Entry 2:
First-principles (GGA-PBE) data for NbMoPtI2 after structural relaxation, as listed in Alexandria via LeMat-Bulk.

Calculated values
Formation energy (no corrections) = 1471 meV per atom

Geometry as POSCAR:
```
NbMoPtI2
1.0
5.378 0.000 0.000
0.000 5.378 0.000
0.000 0.000 4.941
Nb Mo Pt I
1 1 1 2
Direct
0.000 0.000 0.000
0.000 0.000 0.500
0.500 0.500 0.500
0.000 0.500 0.000
0.500 0.000 0.000
```

Entry 3:
First-principles (GGA-PBE) data for ScGe2MoOs after structural relaxation, as listed in Alexandria via LeMat-Bulk.

Calculated values
Energy relative to the elements = 0.72 eV/atom

Geometry as POSCAR:
```
ScGe2MoOs
1.0
4.676 0.000 0.000
0.000 4.676 0.000
0.000 0.000 4.992
Sc Ge Mo Os
1 2 1 1
Direct
0.000 0.000 0.000
0.000 0.500 0.500
0.500 0.000 0.500
0.500 0.500 0.000
0.500 0.500 0.500
```

Entry 4:
First-principles (GGA-PBE) data for LiNiAs2 after structural relaxation, as listed in Alexandria via LeMat-Bulk.

Calculated values
Energy relative to the lowest polymorph listed for this composition = 139 meV/atom
Energy relative to the elements = -0.20 eV/atom

Geometry as POSCAR:
```
LiNiAs2
1.0
3.393 0.000 0.000
0.000 3.573 0.000
0.000 0.000 10.796
Li Ni As
2 2 4
Direct
0.000 0.000 0.000
0.500 0.500 0.500
0.000 0.500 0.744
0.500 0.000 0.244
0.000 0.000 0.600
0.000 0.500 0.299
0.500 0.000 0.799
0.500 0.500 0.100
```

Entry 5:
First-principles (GGA-PBE) data for LiBeTe2 after structural relaxation, as listed in Alexandria via LeMat-Bulk.

Calculated values
Formation energy (no corrections) = 444 meV per atom

Geometry as POSCAR:
```
LiBeTe2
1.0
7.194 0.000 0.000
0.000 7.194 0.000
0.000 0.000 7.194
Li Be Te
4 4 8
Direct
0.000 0.000 0.000
0.000 0.500 0.500
0.500 0.000 0.500
0.500 0.500 0.000
0.250 0.250 0.250
0.250 0.750 0.750
0.750 0.250 0.750
0.750 0.750 0.250
0.000 0.000 0.500
0.000 0.500 0.000
0.250 0.250 0.750
0.250 0.750 0.250
0.500 0.000 0.000
0.500 0.500 0.500
0.750 0.250 0.250
0.750 0.750 0.750
```

Entry 6:
First-principles (GGA-PBE) data for Pr3Zn7Ag2 after structural relaxation, as listed in Alexandria via LeMat-Bulk.

Calculated values
Energy relative to the elements = -0.27 eV/atom

Geometry as POSCAR:
```
Pr3Zn7Ag2
1.0
2.788 1.610 8.995
-2.788 1.610 8.995
0.000 -3.220 8.995
Pr Zn Ag
3 7 2
Direct
0.000 0.000 0.000
0.142 0.142 0.142
0.858 0.858 0.858
0.080 0.585 0.585
0.415 0.415 0.920
0.415 0.920 0.415
0.500 0.500 0.500
0.585 0.080 0.585
0.585 0.585 0.080
0.920 0.415 0.415
0.334 0.334 0.334
0.666 0.666 0.666
```

Entry 7:
First-principles (GGA-PBE) data for Fe2HgMo after structural relaxation, as listed in Alexandria via LeMat-Bulk.

Calculated values
Energy relative to the elements = 0.87 eV/atom

Geometry as POSCAR:
```
Fe2HgMo
1.0
6.735 0.000 0.000
0.000 6.735 0.000
0.000 0.000 5.547
Fe Hg Mo
8 4 4
Direct
0.207 0.250 0.125
0.250 0.707 0.375
0.250 0.793 0.875
0.293 0.250 0.625
0.707 0.750 0.625
0.750 0.207 0.875
0.750 0.293 0.375
0.793 0.750 0.125
0.000 0.000 0.500
0.000 0.500 0.750
0.500 0.000 0.250
0.500 0.500 0.000
0.000 0.000 0.000
0.000 0.500 0.250
0.500 0.000 0.750
0.500 0.500 0.500
```

Entry 8:
First-principles (GGA-PBE) data for Tb2HoIn3Hg6 after structural relaxation, as listed in Alexandria via LeMat-Bulk.

Calculated values
Energy relative to the elements = -0.05 eV/atom

Geometry as POSCAR:
```
Tb2HoIn3Hg6
1.0
4.222 0.000 0.000
0.000 4.222 0.000
0.000 0.000 20.349
Tb Ho In Hg
2 1 3 6
Direct
0.000 0.000 0.216
0.000 0.000 0.784
0.000 0.000 0.500
0.500 0.500 0.000
0.500 0.500 0.278
0.500 0.500 0.722
0.000 0.500 0.388
0.000 0.500 0.612
0.500 0.000 0.388
0.500 0.000 0.612
0.500 0.500 0.137
0.500 0.500 0.863
```

| no. | total magnetization (μB per formula unit) | calculated density (g/cm3) |
| --- | --- | --- |
| 1 | 8.2 | 8.07 |
| 2 | 1.8 | 7.41 |
| 3 | 0.0 | 7.25 |
| 4 | 0.0 | 5.47 |
| 5 | 0.0 | 4.84 |
| 6 | 0.0 | 7.52 |
| 7 | 0.0 | 10.77 |
| 8 | 0.0 | 9.30 |